TcPdRu2: relaxed, GGA-PBE.

a = 2.7309 Å, b = 2.7309 Å, c = 26.8570 Å
α = 90.00°, β = 90.00°, γ = 120.00°
Fractional coordinates of all 12 atoms:
Tc1 0.0000 0.0000 0.0000
Tc2 0.3333 0.6667 0.6667
Tc3 0.6667 0.3333 0.3333
Pd1 0.0000 0.0000 0.5000
Pd2 0.3333 0.6667 0.1667
Pd3 0.6667 0.3333 0.8333
Ru1 0.0000 0.0000 0.2532
Ru2 0.0000 0.0000 0.7468
Ru3 0.3333 0.6667 0.4135
Ru4 0.3333 0.6667 0.9198
Ru5 0.6667 0.3333 0.0802
Ru6 0.6667 0.3333 0.5865

Calculated volume, Å³/atom: 14.46
Energy above the most stable polymorph in this dataset, kJ/mol of atoms: 0.0
ΔE_f, eV/f.u.: 0.32